No. 1
# BaCa2ReGe

A relaxed structure of BaCa2ReGe (PBEsol, Alexandria).

CIF file:
```
data_BaCa2ReGe
_cell_length_a 5.639
_cell_length_b 5.639
_cell_length_c 4.967
_cell_angle_alpha 90.00
_cell_angle_beta 90.00
_cell_angle_gamma 90.00
_space_group_name_H-M_alt 'P 4/m m m'
_space_group_IT_number 123
_space_group_name_Hall '-P 4 2'
loop_
_atom_site_label
_atom_site_type_symbol
_atom_site_fract_x
_atom_site_fract_y
_atom_site_fract_z
Ba1 Ba 0.000 0.000 0.000
Ca1 Ca 0.000 0.500 0.000
Re1 Re 0.000 0.000 0.500
Ge1 Ge 0.500 0.500 0.500
```

Output
Total magnetization   0.00 μB/f.u.
Formation energy   41.03 kcal/mol of atoms

No. 2
# BaCa2GeSb

A relaxed structure of BaCa2GeSb (PBEsol, Alexandria).

CIF file:
```
data_BaCa2GeSb
_cell_length_a 5.959
_cell_length_b 5.959
_cell_length_c 5.347
_cell_angle_alpha 90.00
_cell_angle_beta 90.00
_cell_angle_gamma 90.00
_space_group_name_H-M_alt 'P 4/m m m'
_space_group_IT_number 123
_space_group_name_Hall '-P 4 2'
loop_
_atom_site_label
_atom_site_type_symbol
_atom_site_fract_x
_atom_site_fract_y
_atom_site_fract_z
Ba1 Ba 0.000 0.000 0.000
Ca1 Ca 0.000 0.500 0.000
Ge1 Ge 0.000 0.000 0.500
Sb1 Sb 0.500 0.500 0.500
```

Output
Total magnetization   0.00 μB/f.u.
E_form (uncorrected)   0.884 eV/atom

No. 3
# BaCa2ScGe

A relaxed structure of BaCa2ScGe (PBEsol, Alexandria).

CIF file:
```
data_BaCa2ScGe
_cell_length_a 5.865
_cell_length_b 5.865
_cell_length_c 5.244
_cell_angle_alpha 90.00
_cell_angle_beta 90.00
_cell_angle_gamma 90.00
_space_group_name_H-M_alt 'P 4/m m m'
_space_group_IT_number 123
_space_group_name_Hall '-P 4 2'
loop_
_atom_site_label
_atom_site_type_symbol
_atom_site_fract_x
_atom_site_fract_y
_atom_site_fract_z
Ba1 Ba 0.000 0.000 0.000
Ca1 Ca 0.000 0.500 0.500
Sc1 Sc 0.500 0.500 0.500
Ge1 Ge 0.500 0.500 0.000
```

Output
Total magnetization   0.01 μB/f.u.
Formation energy   4.42 kcal/mol of atoms

No. 4
# Ba2CaH2

A relaxed structure of Ba2CaH2 (PBEsol, Alexandria).

CIF file:
```
data_Ba2CaH2
_cell_length_a 4.302
_cell_length_b 4.302
_cell_length_c 17.937
_cell_angle_alpha 90.00
_cell_angle_beta 90.00
_cell_angle_gamma 90.00
_space_group_name_H-M_alt 'I 4/m m m'
_space_group_IT_number 139
_space_group_name_Hall '-I 4 2'
loop_
_atom_site_label
_atom_site_type_symbol
_atom_site_fract_x
_atom_site_fract_y
_atom_site_fract_z
Ba1 Ba 0.000 0.000 0.171
Ca1 Ca 0.000 0.000 0.500
H1 H 0.000 0.500 0.250
```

Output
Total magnetization   0.00 μB/f.u.
Total DFT energy (no corrections)   -28.5 eV/cell

No. 5
# Ba2CaH2

A relaxed structure of Ba2CaH2 (PBEsol, Alexandria).

CIF file:
```
data_Ba2CaH2
_cell_length_a 8.022
_cell_length_b 8.022
_cell_length_c 4.245
_cell_angle_alpha 90.00
_cell_angle_beta 90.00
_cell_angle_gamma 90.00
_space_group_name_H-M_alt 'P 4/m b m'
_space_group_IT_number 127
_space_group_name_Hall '-P 4 2ab'
loop_
_atom_site_label
_atom_site_type_symbol
_atom_site_fract_x
_atom_site_fract_y
_atom_site_fract_z
Ba1 Ba 0.168 0.332 0.000
Ca1 Ca 0.000 0.000 0.500
H1 H 0.175 0.675 0.500
```

Output
Total magnetization   0.00 μB/f.u.
Total DFT energy (no corrections)   -26.1 eV/cell

No. 6
# BaCaH3

A relaxed structure of BaCaH3 (PBEsol, Alexandria).

CIF file:
```
data_BaCaH3
_cell_length_a 4.384
_cell_length_b 4.384
_cell_length_c 4.384
_cell_angle_alpha 90.00
_cell_angle_beta 90.00
_cell_angle_gamma 90.00
_space_group_name_H-M_alt 'P m -3 m'
_space_group_IT_number 221
_space_group_name_Hall '-P 4 2 3'
loop_
_atom_site_label
_atom_site_type_symbol
_atom_site_fract_x
_atom_site_fract_y
_atom_site_fract_z
Ba1 Ba 0.000 0.000 0.000
Ca1 Ca 0.500 0.500 0.500
H1 H 0.000 0.500 0.500
```

Output
Total magnetization   0.00 μB/f.u.
Total DFT energy (no corrections)   -16.3 eV/cell

No. 7
# Ba3CaH

A relaxed structure of Ba3CaH (PBEsol, Alexandria).

CIF file:
```
data_Ba3CaH
_cell_length_a 5.857
_cell_length_b 5.857
_cell_length_c 5.857
_cell_angle_alpha 90.00
_cell_angle_beta 90.00
_cell_angle_gamma 90.00
_space_group_name_H-M_alt 'P m -3 m'
_space_group_IT_number 221
_space_group_name_Hall '-P 4 2 3'
loop_
_atom_site_label
_atom_site_type_symbol
_atom_site_fract_x
_atom_site_fract_y
_atom_site_fract_z
Ba1 Ba 0.000 0.000 0.500
Ca1 Ca 0.500 0.500 0.500
H1 H 0.000 0.000 0.000
```

Output
Total magnetization   0.00 μB/f.u.
Total DFT energy (no corrections)   -12.5 eV/cell

No. 8
# BaCaReH2

A relaxed structure of BaCaReH2 (PBEsol, Alexandria).

CIF file:
```
data_BaCaReH2
_cell_length_a 4.102
_cell_length_b 4.102
_cell_length_c 5.247
_cell_angle_alpha 90.00
_cell_angle_beta 90.00
_cell_angle_gamma 90.00
_space_group_name_H-M_alt 'P 4/m m m'
_space_group_IT_number 123
_space_group_name_Hall '-P 4 2'
loop_
_atom_site_label
_atom_site_type_symbol
_atom_site_fract_x
_atom_site_fract_y
_atom_site_fract_z
Ba1 Ba 0.000 0.000 0.000
Ca1 Ca 0.500 0.500 0.000
Re1 Re 0.000 0.000 0.500
H1 H 0.000 0.500 0.500
```

Output
Total magnetization   0.40 μB/f.u.
Total DFT energy (no corrections)   -18.1 eV/cell

No. 9
# Ba3CaHf

A relaxed structure of Ba3CaHf (PBEsol, Alexandria).

CIF file:
```
data_Ba3CaHf
_cell_length_a 6.162
_cell_length_b 6.162
_cell_length_c 6.162
_cell_angle_alpha 90.00
_cell_angle_beta 90.00
_cell_angle_gamma 90.00
_space_group_name_H-M_alt 'P m -3 m'
_space_group_IT_number 221
_space_group_name_Hall '-P 4 2 3'
loop_
_atom_site_label
_atom_site_type_symbol
_atom_site_fract_x
_atom_site_fract_y
_atom_site_fract_z
Ba1 Ba 0.000 0.000 0.500
Ca1 Ca 0.000 0.000 0.000
Hf1 Hf 0.500 0.500 0.500
```

Output
Total magnetization   0.92 μB/f.u.
Formation energy   30.08 kcal/mol of atoms

No. 10
# BaCa2HfPb

A relaxed structure of BaCa2HfPb (PBEsol, Alexandria).

CIF file:
```
data_BaCa2HfPb
_cell_length_a 5.781
_cell_length_b 5.781
_cell_length_c 5.815
_cell_angle_alpha 90.00
_cell_angle_beta 90.00
_cell_angle_gamma 90.00
_space_group_name_H-M_alt 'P 4/m m m'
_space_group_IT_number 123
_space_group_name_Hall '-P 4 2'
loop_
_atom_site_label
_atom_site_type_symbol
_atom_site_fract_x
_atom_site_fract_y
_atom_site_fract_z
Ba1 Ba 0.000 0.000 0.000
Ca1 Ca 0.000 0.500 0.500
Hf1 Hf 0.000 0.000 0.500
Pb1 Pb 0.500 0.500 0.000
```

Output
Total magnetization   0.00 μB/f.u.
Formation energy   18.31 kcal/mol of atoms

No. 11
# BaCa2Hg

A relaxed structure of BaCa2Hg (PBEsol, Alexandria).

CIF file:
```
data_BaCa2Hg
_cell_length_a 3.816
_cell_length_b 3.816
_cell_length_c 10.012
_cell_angle_alpha 90.00
_cell_angle_beta 90.00
_cell_angle_gamma 90.00
_space_group_name_H-M_alt 'P 4/m m m'
_space_group_IT_number 123
_space_group_name_Hall '-P 4 2'
loop_
_atom_site_label
_atom_site_type_symbol
_atom_site_fract_x
_atom_site_fract_y
_atom_site_fract_z
Ba1 Ba 0.000 0.000 0.000
Ca1 Ca 0.500 0.500 0.324
Hg1 Hg 0.000 0.000 0.500
```

Output
Total magnetization   0.00 μB/f.u.
Formation energy   -6.72 kcal/mol of atoms

No. 12
# BaCa2Hg

A relaxed structure of BaCa2Hg (PBEsol, Alexandria).

CIF file:
```
data_BaCa2Hg
_cell_length_a 3.914
_cell_length_b 6.070
_cell_length_c 12.473
_cell_angle_alpha 90.00
_cell_angle_beta 90.00
_cell_angle_gamma 90.00
_space_group_name_H-M_alt 'I m m m'
_space_group_IT_number 71
_space_group_name_Hall '-I 2 2'
loop_
_atom_site_label
_atom_site_type_symbol
_atom_site_fract_x
_atom_site_fract_y
_atom_site_fract_z
Ba1 Ba 0.000 0.000 0.000
Ca1 Ca 0.000 0.500 0.198
Hg1 Hg 0.000 0.000 0.500
```

Output
Total magnetization   0.00 μB/f.u.
Formation energy   -6.78 kcal/mol of atoms